Here is La2MgZr after structural relaxation from Alexandria via LeMat-Bulk. Energies are from PBE.

* SG: R-3m, No. 166
* raw total energy: -4.873 eV/atom
* calculated density: 5.4 Mg/m³
* M_tot: 0.00 μB per atom
* energy of formation: 126 meV per atom

```
data_La2MgZr
_cell_length_a 11.795
_cell_length_b 11.795
_cell_length_c 11.795
_cell_angle_alpha 16.84
_cell_angle_beta 16.84
_cell_angle_gamma 16.84
_space_group_name_H-M_alt 'P 1'
_space_group_IT_number 1
loop_
_space_group_symop_operation_xyz
'x,y,z'
loop_
_atom_site_label
_atom_site_fract_x
_atom_site_fract_y
_atom_site_fract_z
La1 0.004 0.004 0.004
La2 0.496 0.496 0.496
Mg1 0.250 0.250 0.250
Zr1 0.750 0.750 0.750
```

---

Here is DyTh2Te3 after structural relaxation from Alexandria via LeMat-Bulk. Energies are from PBE.

* SG: C2/c, No. 15
* raw total energy: -5.908 eV/atom
* calculated density: 9.1 Mg/m³
* M_tot: 0.00 μB per atom
* distance to the lowest polymorph of the same formula: 11 kJ/mol of formula units
* formation energy (no corrections): -1.097 eV per atom

```
data_DyTh2Te3
_cell_length_a 6.275
_cell_length_b 8.447
_cell_length_c 7.915
_cell_angle_alpha 105.46
_cell_angle_beta 113.35
_cell_angle_gamma 90.00
_space_group_name_H-M_alt 'P 1'
_space_group_IT_number 1
loop_
_space_group_symop_operation_xyz
'x,y,z'
loop_
_atom_site_label
_atom_site_fract_x
_atom_site_fract_y
_atom_site_fract_z
Dy1 0.999 0.750 0.000
Dy2 0.001 0.250 0.000
Th1 0.675 0.587 0.348
Th2 0.673 0.087 0.348
Th3 0.327 0.913 0.652
Th4 0.325 0.413 0.652
Te1 0.500 0.250 0.000
Te2 0.500 0.750 0.000
Te3 0.156 0.078 0.313
Te4 0.843 0.422 0.687
Te5 0.157 0.578 0.313
Te6 0.844 0.922 0.687
```

---

- Look up the raw total energy of the first one.
  -4.873 eV/atom

---

- Look up the M_tot of the second one.
  0.00 μB per atom